Computed, not measured: a relaxed structure of Lu3Bi2Sb at the PBE level of DFT.

Unit cell a=4.3583 b=4.3583 c=10.6728 alpha=90.00 beta=90.00 gamma=120.00
Closest atoms and distances in Å follow each position.
Fractional coordinates of all 6 atoms:
Lu1 0.0000 0.0000 0.0000  6 Bi 3.09
Lu2 0.3333 0.6667 0.6615  3 Sb 3.05, 3 Bi 3.11
Lu3 0.6667 0.3333 0.3385  3 Sb 3.05, 3 Bi 3.11
Bi1 0.3333 0.6667 0.1677  6 Lu 3.09-3.11
Bi2 0.6667 0.3333 0.8323  6 Lu 3.09-3.11
Sb1 0.0000 0.0000 0.5000  6 Lu 3.05

## Properties
- M_tot (μB per formula unit) = 0.002
- V (Å³ per atom) = 29.26
- space-group type = P-3m1
- final energy (Ha/atom) = -0.18866

***

Computed, not measured: a relaxed structure of Lu3Bi2Se at the PBE level of DFT.

Unit cell a=4.2794 b=4.2794 c=10.4004 alpha=90.00 beta=90.00 gamma=120.00
Closest atoms and distances in Å follow each position.
Fractional coordinates of all 6 atoms:
Lu1 0.0000 0.0000 0.0000  6 Bi 3.08
Lu2 0.3333 0.6667 0.6483  3 Se 2.91, 3 Bi 3.07
Lu3 0.6667 0.3333 0.3517  3 Se 2.91, 3 Bi 3.07
Bi1 0.3333 0.6667 0.1761  6 Lu 3.07-3.08
Bi2 0.6667 0.3333 0.8239  6 Lu 3.07-3.08
Se1 0.0000 0.0000 0.5000  6 Lu 2.91

## Properties
- M_tot (μB per formula unit) = 0.002
- V (Å³ per atom) = 27.49
- space-group type = P-3m1
- final energy (Ha/atom) = -0.19117

***

Computed, not measured: a relaxed structure of LuSi2Bi at the PBE level of DFT.

Unit cell a=5.0603 b=5.0603 c=5.0603 alpha=60.00 beta=60.00 gamma=60.00
Closest atoms and distances in Å follow each position.
Fractional coordinates of all 4 atoms:
Lu1 0.0000 0.0000 0.0000  4 Bi 3.10, 4 Si 3.10
Si1 0.2500 0.2500 0.2500  4 Si 3.10, 4 Lu 3.10
Si2 0.5000 0.5000 0.5000  4 Bi 3.10, 4 Si 3.10
Bi1 0.7500 0.7500 0.7500  4 Lu 3.10, 4 Si 3.10

## Properties
- M_tot (μB per formula unit) = 0.001
- V (Å³ per atom) = 22.91
- space-group type = F-43m
- ΔE to the lowest computed polymorph (meV/atom) = 46
- final energy (Ha/atom) = -0.16783

***

Computed, not measured: a relaxed structure of LuSi2Bi at the PBE level of DFT.

Unit cell a=4.2886 b=4.2886 c=6.9270 alpha=90.00 beta=90.00 gamma=120.00
Closest atoms and distances in Å follow each position.
Fractional coordinates of all 4 atoms:
Lu1 0.0000 0.0000 0.0000  6 Si 2.78-2.91
Si1 0.3333 0.6667 0.8164  1 Bi 2.71, 3 Lu 2.78
Si2 0.6667 0.3333 0.2197  3 Bi 2.86, 3 Lu 2.91
Bi1 0.3333 0.6667 0.4253  4 Si 2.71-2.86

## Properties
- M_tot (μB per formula unit) = 0.003
- V (Å³ per atom) = 27.58
- space-group type = P3m1
- ΔE to the lowest computed polymorph (meV/atom) = 0
- final energy (Ha/atom) = -0.16953

***

Computed, not measured: a relaxed structure of SmLu2Bi3 at the PBE level of DFT.

Unit cell a=4.4477 b=4.4477 c=10.9176 alpha=90.00 beta=90.00 gamma=120.00
Closest atoms and distances in Å follow each position.
Fractional coordinates of all 6 atoms:
Sm1 0.0000 0.0000 0.0000  6 Bi 3.21
Lu1 0.3333 0.6667 0.3362  6 Bi 3.11-3.13
Lu2 0.6667 0.3333 0.6638  6 Bi 3.11-3.13
Bi1 0.0000 0.0000 0.5000  6 Lu 3.13
Bi2 0.3333 0.6667 0.8241  3 Lu 3.11, 3 Sm 3.21
Bi3 0.6667 0.3333 0.1759  3 Lu 3.11, 3 Sm 3.21

## Properties
- M_tot (μB per formula unit) = 0.001
- V (Å³ per atom) = 31.17
- space-group type = P-3m1
- final energy (Ha/atom) = -0.18841

***

Computed, not measured: a relaxed structure of Sm2LuBi3 at the PBE level of DFT.

Unit cell a=4.4837 b=4.4837 c=10.9975 alpha=90.00 beta=90.00 gamma=120.00
Closest atoms and distances in Å follow each position.
Fractional coordinates of all 6 atoms:
Sm1 0.3333 0.6667 0.3291  6 Bi 3.20-3.21
Sm2 0.6667 0.3333 0.6709  6 Bi 3.20-3.21
Lu1 0.0000 0.0000 0.0000  6 Bi 3.11
Bi1 0.0000 0.0000 0.5000  6 Sm 3.20
Bi2 0.3333 0.6667 0.8428  3 Lu 3.11, 3 Sm 3.21
Bi3 0.6667 0.3333 0.1572  3 Lu 3.11, 3 Sm 3.21

## Properties
- M_tot (μB per formula unit) = 0.001
- V (Å³ per atom) = 31.91
- space-group type = P-3m1
- final energy (Ha/atom) = -0.19196

***

Computed, not measured: a relaxed structure of LuSnBi at the PBE level of DFT.

Unit cell a=5.1976 b=5.1976 c=5.1976 alpha=60.00 beta=60.00 gamma=60.00
Closest atoms and distances in Å follow each position.
Fractional coordinates of all 3 atoms:
Lu1 0.0000 0.0000 0.0000  4 Sn 3.18
Sn1 0.7500 0.7500 0.7500  4 Bi 3.18, 4 Lu 3.18
Bi1 0.5000 0.5000 0.5000  4 Sn 3.18

## Properties
- M_tot (μB per formula unit) = 0.003
- V (Å³ per atom) = 33.10
- space-group type = F-43m
- final energy (Ha/atom) = -0.15518

***

Computed, not measured: a relaxed structure of LuSnBi2 at the PBE level of DFT.

Unit cell a=5.4721 b=5.4721 c=5.4721 alpha=60.00 beta=60.00 gamma=60.00
Closest atoms and distances in Å follow each position.
Fractional coordinates of all 4 atoms:
Lu1 0.0000 0.0000 0.0000  4 Sn 3.35, 4 Bi 3.35
Sn1 0.7500 0.7500 0.7500  4 Bi 3.35, 4 Lu 3.35
Bi1 0.2500 0.2500 0.2500  4 Bi 3.35, 4 Lu 3.35
Bi2 0.5000 0.5000 0.5000  4 Sn 3.35, 4 Bi 3.35

## Properties
- M_tot (μB per formula unit) = 0.013
- V (Å³ per atom) = 28.97
- space-group type = F-43m
- final energy (Ha/atom) = -0.15550

***

Computed, not measured: a relaxed structure of SrLuBi at the PBE level of DFT.

Unit cell a=5.3483 b=5.3483 c=5.3483 alpha=60.00 beta=60.00 gamma=60.00
Closest atoms and distances in Å follow each position.
Fractional coordinates of all 3 atoms:
Sr1 0.0000 0.0000 0.0000  4 Bi 3.28
Lu1 0.5000 0.5000 0.5000  4 Bi 3.28
Bi1 0.7500 0.7500 0.7500  4 Sr 3.28, 4 Lu 3.28

## Properties
- M_tot (μB per formula unit) = 0.460
- V (Å³ per atom) = 36.06
- space-group type = F-43m
- ΔE to the lowest computed polymorph (meV/atom) = 0
- final energy (Ha/atom) = -0.13423

***

Computed, not measured: a relaxed structure of LuTa2Bi at the PBE level of DFT.

Unit cell a=4.9497 b=4.9497 c=4.9497 alpha=60.00 beta=60.00 gamma=60.00
Closest atoms and distances in Å follow each position.
Fractional coordinates of all 4 atoms:
Lu1 0.0000 0.0000 0.0000  4 Ta 3.03, 4 Bi 3.03
Ta1 0.2500 0.2500 0.2500  4 Ta 3.03, 4 Lu 3.03
Ta2 0.5000 0.5000 0.5000  4 Ta 3.03, 4 Bi 3.03
Bi1 0.7500 0.7500 0.7500  4 Ta 3.03, 4 Lu 3.03

## Properties
- M_tot (μB per formula unit) = 0.003
- V (Å³ per atom) = 21.44
- space-group type = F-43m
- final energy (Ha/atom) = -0.28475

***

Computed, not measured: a relaxed structure of LuTaBi at the PBE level of DFT.

Unit cell a=4.9357 b=4.9357 c=4.9357 alpha=60.00 beta=60.00 gamma=60.00
Closest atoms and distances in Å follow each position.
Fractional coordinates of all 3 atoms:
Lu1 0.0000 0.0000 0.0000  4 Ta 3.02
Ta1 0.7500 0.7500 0.7500  4 Bi 3.02, 4 Lu 3.02
Bi1 0.5000 0.5000 0.5000  4 Ta 3.02

## Properties
- M_tot (μB per formula unit) = 2.028
- V (Å³ per atom) = 28.34
- space-group type = F-43m
- final energy (Ha/atom) = -0.22416

***

Computed, not measured: a relaxed structure of TbLu2Bi3 at the PBE level of DFT.

Unit cell a=4.4323 b=4.4323 c=10.8591 alpha=90.00 beta=90.00 gamma=120.00
Closest atoms and distances in Å follow each position.
Fractional coordinates of all 6 atoms:
Tb1 0.0000 0.0000 0.0000  6 Bi 3.16
Lu1 0.3333 0.6667 0.3339  6 Bi 3.11-3.13
Lu2 0.6667 0.3333 0.6661  6 Bi 3.11-3.13
Bi1 0.0000 0.0000 0.5000  6 Lu 3.13
Bi2 0.3333 0.6667 0.8292  3 Lu 3.11, 3 Tb 3.16
Bi3 0.6667 0.3333 0.1708  3 Lu 3.11, 3 Tb 3.16

## Properties
- M_tot (μB per formula unit) = 0.005
- V (Å³ per atom) = 30.79
- space-group type = P-3m1
- final energy (Ha/atom) = -0.18739